# GdAgNO

A geometry-optimized GdAgNO structure (PBE-GGA, OQMD via LeMat-Bulk).

Summary:
* E: -6.1641 eV per atom
* space-group type: Pmc2_1, No. 26
* crystal system: orthorhombic

Unit cell a=4.0141 b=6.2149 c=4.9633 alpha=90.00 beta=90.00 gamma=90.00
Last column: nearest neighbours and their distance in Å.
Positions (direct):
Gd 0.0000 0.2023 0.0000  2 O 2.19, 1 N 2.30
Gd 0.0000 0.7977 0.5000  2 O 2.19, 1 N 2.30
Ag 0.5000 0.2707 0.4986  2 N 2.11
Ag 0.5000 0.7293 0.9986  2 N 2.11
N 0.0000 0.1684 0.4981  2 Ag 2.11, 1 Gd 2.30
N 0.0000 0.8316 0.9981  2 Ag 2.11, 1 Gd 2.30
O 0.5000 0.3424 0.9938  2 Gd 2.19, 1 Ag 2.40
O 0.5000 0.6576 0.4938  2 Gd 2.19, 1 Ag 2.40

***

# MgGaAsOs

A geometry-optimized MgGaAsOs structure (PBE-GGA, OQMD via LeMat-Bulk).

Summary:
* E: -4.7852 eV per atom
* space-group type: F-43m, No. 216
* crystal system: cubic

Unit cell a=4.5333 b=4.5333 c=4.5333 alpha=60.00 beta=60.00 gamma=60.00
Last column: nearest neighbours and their distance in Å.
Positions (direct):
Mg 0.0000 0.0000 0.0000  4 As 2.78, 4 Os 2.78
Ga 0.5000 0.5000 0.5000  4 As 2.78, 4 Os 2.78
As 0.7500 0.7500 0.7500  4 Mg 2.78, 4 Ga 2.78
Os 0.2500 0.2500 0.2500  4 Mg 2.78, 4 Ga 2.78